Entry 1:
A plane-wave DFT calculation with PBE was carried out for a relaxed structure of BeCdOs2.

```
8
Lattice="-3.510 -1.031 -1.534 1.791 -1.082 -3.370 0.154 -9.194 0.698" Properties=species:S:1:pos:R:3 pbc="T T T"
Os -0.509 -2.660 -0.584
Os -2.114 -8.306 -2.402
Os 0.197 -8.126 -2.681
Be 0.543 -5.666 -2.562
Be -0.860 -1.057 -2.452
Cd -2.108 -5.641 -1.644
Os -0.703 -3.521 -2.745
Cd 0.000 0.000 0.000
```

Calculated values
polymorph energy (0 for the lowest one) = 0.648 eV/atom


Entry 2:
A plane-wave DFT calculation with PBE was carried out for a relaxed structure of BeCd2Os.

```
4
Lattice="-0.836 2.726 -0.250 -0.203 -1.297 2.543 8.362 2.754 2.073" Properties=species:S:1:pos:R:3 pbc="T T T"
Cd 4.323 1.424 1.072
Os 1.571 1.403 1.665
Cd 8.219 2.708 2.037
Be 5.752 2.780 2.701
```


Looking at ρ for the records above, in order, we have 12058, 10893 kg/m3.
Looking at energy for the records above, in order, we have -5.977, -3.527 eV/atom.